NiPd5Pt | GGA-PBE | optimized geometry

```
14
Lattice="2.400 -6.643 0.000 2.400 6.643 0.000 -2.039 0.000 6.882" Properties=species:S:1:pos:R:3 pbc="T T T"
Ni 0.870 6.405 5.162
Ni 1.890 -6.405 1.721
Pd 1.841 4.713 0.295
Pd 0.741 2.393 2.413
Pd 1.939 4.713 3.146
Pd 0.870 1.914 5.162
Pd -0.279 -2.393 5.854
Pd 3.039 2.393 1.028
Pd 1.890 -1.914 1.721
Pd 0.821 -4.713 3.736
Pd 2.020 -2.393 4.470
Pd 0.920 -4.713 6.588
Pt 2.400 0.000 0.000
Pt 1.380 0.000 3.441
```

## Properties
D(E_F) = 13.24 states/eV/f.u.
ΔE_f = 0.164 eV/atom
Energy = -5.234 eV per atom
Crystal system = monoclinic
Calculated density = 11.9 g cm⁻³